[1]
Cr2NiO4: PBEsol geometry, meta-GGA SCAN.

The structure in POSCAR format:
```
Cr2NiO4
1.0
0.000 4.103 4.103
4.103 0.000 4.103
4.103 4.103 0.000
Cr Ni O
4 2 8
Cartesian
0.000 0.000 0.000 Cr
2.052 2.052 0.000 Cr
2.052 0.000 2.052 Cr
0.000 2.052 2.052 Cr
3.078 3.078 3.078 Ni
5.129 5.129 5.129 Ni
6.249 4.009 4.009 O
1.957 1.957 1.957 O
4.198 4.198 1.957 O
4.198 1.957 4.198 O
4.009 6.249 4.009 O
4.009 4.009 6.249 O
6.249 6.249 6.249 O
1.957 4.198 4.198 O
```

The energy relative to the elements, uncorrected is -2.185 eV per atom.

=====

[2]
Cr3NiP6O24: PBEsol geometry, meta-GGA SCAN.

The structure in POSCAR format:
```
Cr3NiP6O24
1.0
4.060 2.344 7.103
-4.060 2.344 7.103
0.000 -4.688 7.103
Cr Ni P O
3 1 6 24
Cartesian
0.000 0.000 0.000 Cr
0.000 0.000 4.573 Cr
0.000 0.000 10.498 Cr
0.000 0.000 15.080 Ni
-2.939 0.329 9.303 P
-1.105 -1.961 12.916 P
1.184 -2.710 9.303 P
-1.146 1.937 12.916 P
1.754 2.380 9.303 P
2.250 0.024 12.916 P
-0.653 -1.322 5.663 O
-2.897 1.391 8.178 O
-3.329 1.015 10.625 O
-2.606 -1.772 13.184 O
0.244 -3.204 8.178 O
-1.476 -0.138 9.435 O
-0.819 1.226 5.663 O
0.786 -3.390 10.625 O
-0.793 -1.274 11.578 O
1.472 0.096 5.663 O
0.857 -1.209 9.435 O
-0.144 -1.533 14.047 O
-1.391 -0.651 16.201 O
-0.707 1.324 11.578 O
-1.256 0.891 14.047 O
0.618 1.347 9.435 O
1.500 -0.050 11.578 O
-0.231 3.142 13.184 O
2.653 1.813 8.178 O
1.259 -0.879 16.201 O
2.837 -1.371 13.184 O
1.400 0.642 14.047 O
0.132 1.530 16.201 O
2.543 2.375 10.625 O
```

The energy relative to the elements, uncorrected is -2.082 eV per atom.

=====

[3]
Cr2Ni3SbP6O24: PBEsol geometry, meta-GGA SCAN.

The structure in POSCAR format:
```
Cr2Ni3SbP6O24
1.0
4.264 2.462 6.620
-4.264 2.462 6.620
0.000 -4.923 6.620
Cr Ni Sb P O
2 3 1 6 24
Cartesian
0.000 0.000 0.000 Cr
0.000 0.000 9.828 Cr
0.000 0.000 2.727 Ni
0.000 0.000 7.009 Ni
0.000 0.000 12.598 Ni
0.000 0.000 16.911 Sb
-1.706 -2.441 8.109 P
-2.974 0.332 11.475 P
-1.261 2.698 8.109 P
1.199 -2.742 11.475 P
2.967 -0.257 8.109 P
1.775 2.410 11.475 P
-2.535 -2.533 9.435 O
-0.773 -3.686 7.939 O
-3.603 -1.176 11.711 O
-1.731 -0.060 6.142 O
-3.462 0.939 10.193 O
-2.806 2.512 7.939 O
-0.796 -1.225 8.432 O
0.917 -1.469 6.142 O
0.917 -3.468 10.193 O
-1.450 0.041 11.229 O
-0.663 1.302 8.432 O
-0.785 -1.492 13.523 O
0.813 1.529 6.142 O
0.689 -1.277 11.229 O
1.459 -0.077 8.432 O
-0.926 3.462 9.435 O
-0.899 1.425 13.523 O
0.761 1.235 11.229 O
2.820 -2.533 11.711 O
3.462 -0.929 9.435 O
1.684 0.066 13.523 O
3.578 1.174 7.939 O
0.783 3.709 11.711 O
2.545 2.528 10.193 O
```

The energy relative to the elements, uncorrected is -2.089 eV per atom.

=====

[4]
V3Cr2NiP6O24: PBEsol geometry, meta-GGA SCAN.

The structure in POSCAR format:
```
V3Cr2NiP6O24
1.0
4.247 2.452 6.685
-4.247 2.452 6.685
0.000 -4.904 6.685
V Cr Ni P O
3 2 1 6 24
Cartesian
0.000 0.000 0.000 V
0.000 0.000 4.319 V
0.000 0.000 10.058 V
0.000 0.000 7.170 Cr
0.000 0.000 17.184 Cr
0.000 0.000 14.396 Ni
-2.990 0.285 8.865 P
-1.256 -2.159 12.233 P
1.248 -2.732 8.865 P
-1.241 2.167 12.233 P
1.742 2.447 8.865 P
2.497 -0.009 12.233 P
-3.451 1.016 7.607 O
-2.805 -2.345 11.973 O
-0.761 -1.236 5.678 O
-3.315 1.133 10.094 O
0.845 -3.497 7.607 O
-1.449 0.086 8.664 O
-0.690 1.277 5.678 O
0.676 -3.438 10.094 O
-0.769 -1.448 10.967 O
0.650 -1.298 8.664 O
1.451 -0.041 5.678 O
-0.910 -1.472 13.511 O
-0.870 1.390 10.967 O
-1.485 -0.133 15.820 O
0.799 1.212 8.664 O
-0.820 1.524 13.511 O
1.639 0.058 10.966 O
-0.628 3.601 11.973 O
0.858 -1.220 15.820 O
2.605 2.480 7.607 O
1.730 -0.052 13.511 O
3.433 -1.257 11.973 O
0.627 1.353 15.820 O
2.639 2.305 10.094 O
```

The energy relative to the elements, uncorrected is -2.423 eV per atom.

=====

[5]
SrPr3CrNiO8: PBEsol geometry, meta-GGA SCAN.

The structure in POSCAR format:
```
SrPr3CrNiO8
1.0
5.401 0.000 0.000
0.000 2.699 6.142
0.000 -2.699 6.142
Sr Pr Cr Ni O
1 3 1 1 8
Cartesian
0.000 0.000 0.000 Sr
0.000 0.000 8.875 Pr
2.700 0.000 2.692 Pr
2.700 0.000 6.060 Pr
0.000 0.000 4.411 Cr
2.700 0.000 10.567 Ni
0.000 0.000 2.407 O
0.000 0.000 6.498 O
1.363 -1.326 4.356 O
1.363 1.326 4.356 O
2.700 0.000 0.392 O
2.700 0.000 8.377 O
4.038 -1.326 4.356 O
4.038 1.326 4.356 O
```

The energy relative to the elements, uncorrected is -3.071 eV per atom.

=====

[6]
Sr2CrNiO: PBEsol geometry, meta-GGA SCAN.

The structure in POSCAR format:
```
Sr2CrNiO
1.0
5.846 0.000 0.000
0.000 5.846 0.000
0.000 0.000 3.525
Sr Cr Ni O
2 1 1 1
Cartesian
0.000 2.923 0.000 Sr
2.923 0.000 0.000 Sr
0.000 0.000 1.762 Cr
2.923 2.923 0.000 Ni
2.923 2.923 1.762 O
```

The energy relative to the elements, uncorrected is -0.205 eV per atom.

=====

[7]
CrNiOs: PBEsol geometry, meta-GGA SCAN.

The structure in POSCAR format:
```
CrNiOs
1.0
2.544 0.000 0.000
0.000 3.704 0.000
0.000 0.000 7.623
Cr Ni Os
2 2 2
Cartesian
0.000 0.000 0.000 Cr
1.272 1.852 3.811 Cr
0.000 0.000 2.548 Ni
1.272 1.852 6.359 Ni
0.000 0.000 5.092 Os
1.272 1.852 1.280 Os
```

The formation energy comes out at 0.086 eV/atom.

=====

[8]
CrNiSn2Os: PBEsol geometry, meta-GGA SCAN.

The structure in POSCAR format:
```
CrNiSn2Os
1.0
4.657 0.000 0.000
0.000 4.657 0.000
0.000 0.000 4.607
Cr Ni Sn Os
1 1 2 1
Cartesian
0.000 0.000 0.000 Cr
2.329 2.329 2.303 Ni
0.000 2.329 2.303 Sn
2.329 0.000 2.303 Sn
2.329 2.329 0.000 Os
```

The formation energy comes out at 0.981 eV/atom.

=====

Listing spin magnetization for the structures above in their given order: 4.000; 4.000; 11.393; 13.000; 5.000; 5.934; 0.213; 2.259 μB/f.u..
Listing total energy for the structures above in their given order: -13.309; -10.414; -11.381; -11.239; -19.975; -17.273; -35.394; -34.675 eV per atom.
Listing volume for the structures above in their given order: 138.19; 405.62; 416.86; 417.74; 179.09; 120.46; 71.83; 99.92 Å³ per cell.